No. 1
Pm3Sm3Tl2: relaxed, PBE.

Unit cell a=4.954 b=4.960 c=9.898 alpha=90.00 beta=90.00 gamma=90.00
Space group Pmmm (No. 47)
One atom of each set of equivalent atoms:
Pm 0.000 0.000 0.000 (multiplicity 1)
Pm 0.500 0.000 0.250 (multiplicity 2)
Sm 0.000 0.000 0.500 (multiplicity 1)
Sm 0.500 0.500 0.000 (multiplicity 1)
Sm 0.500 0.500 0.500 (multiplicity 1)
Tl 0.000 0.500 0.251 (multiplicity 2)

Summary:
formation energy = -0.199 eV per atom
calculated density = 8.84 g cm⁻³
N(E_F) = 12.2 states/eV per cell
M_tot = 0.18 μB per atom
ΔE to the lowest computed polymorph = 0.000 eV/atom

No. 2
Pm6SmTl6: relaxed, PBE.

Unit cell a=6.5149 b=6.5149 c=10.9099 alpha=90.00 beta=90.00 gamma=120.00
Space group P6/mmm (No. 191)
One atom of each set of equivalent atoms:
Pm 0.0000 0.0000 0.1661 (multiplicity 2)
Pm 0.3333 0.6667 0.0000 (multiplicity 2)
Pm 0.3333 0.6667 0.5000 (multiplicity 2)
Sm 0.0000 0.0000 0.5000 (multiplicity 1)
Tl 0.0000 0.5000 0.2538 (multiplicity 6)

Summary:
formation energy = -0.221 eV per atom
calculated density = 9.30 g cm⁻³
N(E_F) = 15.7 states/eV per cell
M_tot = 0.16 μB per atom